[1]
Compound: CeBe4Os
Source: Alexandria
Functional: PBE
Structure: relaxed

Calculated values
DFT formation energy in eV per atom: -0.02
Final energy in eV per atom: -5.3641
Spin magnetization in μB per formula unit: 0.2

POSCAR file:
```
CeBe4Os
1.0
4.7376 0.0000 0.0000
2.3688 4.1029 0.0000
2.3688 1.3676 3.8683
Be Os Ce
4 1 1
Direct
0.6285 0.1145 0.6285
0.1145 0.6285 0.6285
0.6285 0.6285 0.6285
0.6285 0.6285 0.1145
0.0000 0.0000 0.0000
0.2500 0.2500 0.2500
```


[2]
Compound: LaCeCd
Source: Alexandria
Functional: PBE
Structure: relaxed

Calculated values
DFT formation energy in eV per atom: -0.08
Energy above the most stable polymorph in this dataset in eV per atom: 0.051
Final energy in eV per atom: -4.0099
Spin magnetization in μB per formula unit: 1.5

POSCAR file:
```
LaCeCd
1.0
3.8383 0.0000 0.0000
0.0000 3.8383 0.0000
-1.9191 -1.9191 6.2960
La Ce Cd
1 1 1
Direct
0.9601 0.9601 0.9201
0.2699 0.2699 0.5398
0.6201 0.6201 0.2401
```


[3]
Compound: Hg2WBr
Source: Alexandria
Functional: PBE
Structure: relaxed

Calculated values
Raw formation energy in eV/atom: 0.497
Energy above the most stable polymorph in this dataset in eV per atom: 0.000
Final energy in eV per atom: -3.3109
Spin magnetization in μB per formula unit: 0.8

POSCAR file:
```
Hg2WBr
1.0
7.6782 0.0103 -0.0109
7.0727 2.9885 -0.0109
1.5686 0.3189 4.6411
Hg Br W
2 1 1
Direct
0.1587 0.1587 0.3421
0.0142 0.0142 0.9858
0.8413 0.8413 0.6580
0.4858 0.4858 0.5141
```


[4]
Compound: La5PrSe6
Source: Alexandria
Functional: PBE
Structure: relaxed

Calculated values
Raw formation energy in eV/atom: -1.980
Final energy in eV per atom: -6.1735
Spin magnetization in μB per formula unit: 0.0

POSCAR file:
```
La5PrSe6
1.0
-1.4100 4.0838 6.0725
-3.3493 -4.2312 5.1405
4.0989 -3.7344 4.9995
La Pr Se
5 1 6
Direct
0.0000 0.6661 0.6677
0.5000 0.8336 0.3328
0.0000 0.3339 0.3323
0.5000 0.5000 0.0000
0.5000 0.1664 0.6672
0.0000 0.0000 0.0000
0.2492 0.9171 0.6672
0.2492 0.5843 0.3328
0.7508 0.4157 0.6672
0.2497 0.2492 0.0000
0.7508 0.0829 0.3328
0.7503 0.7508 0.0000
```